1.
VASP calculation (GGA-PBE) on an optimized crystal structure of Cs6InPb2.

## Properties
Uncorrected energy: -1.801 eV per atom
E_form: -0.93 eV per formula unit
Space group: No. 166

Lattice parameters (Å, degrees): 12.9961 12.9961 12.9961 31.49 31.49 31.49
Fractional coordinates of all 9 atoms:
1 Cs 0.0770 0.0770 0.0770
2 Cs 0.1968 0.1968 0.1968
3 Cs 0.3138 0.3138 0.3138
4 Cs 0.6862 0.6862 0.6862
5 Cs 0.8032 0.8032 0.8032
6 Cs 0.9230 0.9230 0.9230
7 In 0.5000 0.5000 0.5000
8 Pb 0.4220 0.4220 0.4220
9 Pb 0.5780 0.5780 0.5780

2.
VASP calculation (GGA-PBE) on an optimized crystal structure of CsInPb4.

## Properties
Uncorrected energy: -3.018 eV per atom
E_form: 0.32 eV per formula unit
Space group: No. 216
Excess energy over the best structure of this formula in the dataset: 102 meV per atom

Lattice parameters (Å, degrees): 6.7404 6.7404 6.7404 60.00 60.00 60.00
Fractional coordinates of all 6 atoms:
1 Cs 0.0000 0.0000 0.0000
2 In 0.7500 0.7500 0.7500
3 Pb 0.3749 0.3749 0.3749
4 Pb 0.3749 0.3749 0.8752
5 Pb 0.3749 0.8752 0.3749
6 Pb 0.8752 0.3749 0.3749

3.
VASP calculation (GGA-PBE) on an optimized crystal structure of Cs2InPb3.

## Properties
Uncorrected energy: -2.763 eV per atom
E_form: -1.01 eV per formula unit
Space group: No. 15

Lattice parameters (Å, degrees): 8.5812 8.5812 9.1566 105.47 105.47 56.89
Fractional coordinates of all 12 atoms:
1 Cs 0.1661 0.1676 0.0831
2 Cs 0.1676 0.1661 0.5831
3 Cs 0.8324 0.8339 0.4169
4 Cs 0.8339 0.8324 0.9169
5 In 0.2887 0.7113 0.7500
6 In 0.7113 0.2887 0.2500
7 Pb 0.2928 0.7072 0.2500
8 Pb 0.3899 0.3905 0.4452
9 Pb 0.3905 0.3899 0.9452
10 Pb 0.6095 0.6101 0.0548
11 Pb 0.6101 0.6095 0.5548
12 Pb 0.7072 0.2928 0.7500

4.
VASP calculation (GGA-PBE) on an optimized crystal structure of Cs5InPb6.

## Properties
Uncorrected energy: -2.519 eV per atom
E_form: -0.97 eV per formula unit
Space group: No. 12

Lattice parameters (Å, degrees): 8.3140 8.3140 10.7987 96.38 96.38 119.20
Fractional coordinates of all 12 atoms:
1 Cs 0.0000 0.0000 0.0000
2 Cs 0.1640 0.8360 0.5000
3 Cs 0.2981 0.7019 0.0000
4 Cs 0.7019 0.2981 0.0000
5 Cs 0.8360 0.1640 0.5000
6 In 0.5000 0.5000 0.5000
7 Pb 0.2056 0.4253 0.2745
8 Pb 0.3650 0.3650 0.7415
9 Pb 0.4253 0.2056 0.2745
10 Pb 0.5747 0.7944 0.7255
11 Pb 0.6350 0.6350 0.2585
12 Pb 0.7944 0.5747 0.7255